Record 1
# Er4SnTe3

Crystalline Er4SnTe3 at its relaxed geometry (PBE-GGA, the Alexandria database).

Structure (POSCAR):
```
Er4SnTe3
1.0
4.3465 0.0000 0.0000
0.0000 7.5246 -0.0751
0.0000 -2.4436 7.1171
Te Sn Er
3 1 4
Direct
0.5000 0.5000 0.5000 Te
0.0000 0.0000 0.5000 Te
0.0000 0.5000 0.0000 Te
0.5000 0.0000 0.0000 Sn
0.0000 0.7618 0.7618 Er
0.0000 0.2382 0.2382 Er
0.5000 0.2427 0.7573 Er
0.5000 0.7573 0.2427 Er
```

Properties
The formation energy from raw total energies comes out at -1143 meV/atom. The space group is No. 65. As for the magnetic moment: 0.00 Bohr magnetons per cell. Its uncorrected energy is -5.102 eV per atom.

Record 2
# SiRu2Br2

Crystalline SiRu2Br2 at its relaxed geometry (PBE-GGA, the Alexandria database).

Structure (POSCAR):
```
SiRu2Br2
1.0
4.1754 0.0000 0.0000
0.0000 4.1754 0.0000
2.0877 2.0877 5.6425
Br Si Ru
2 1 2
Direct
0.6298 0.6298 0.7403 Br
0.3702 0.3702 0.2597 Br
0.0000 0.0000 0.0000 Si
0.7500 0.2500 0.5000 Ru
0.2500 0.7500 0.5000 Ru
```

Properties
The formation energy from raw total energies comes out at 1117 meV/atom. The space group is No. 139. As for the magnetic moment: 0.00 Bohr magnetons per cell. The energy above the most stable polymorph in this dataset comes out at 0.000 eV/atom. Its uncorrected energy is -4.348 eV per atom.

Record 3
# YPuMgGa

Crystalline YPuMgGa at its relaxed geometry (PBE-GGA, the Alexandria database).

Structure (POSCAR):
```
YPuMgGa
1.0
-4.7830 -0.2659 1.9938
-3.6158 -2.9167 -2.3113
-1.6313 -4.3795 2.2543
Ga Mg Y Pu
1 1 1 1
Direct
0.0000 0.0000 0.0000 Ga
0.5000 0.5000 0.5000 Mg
0.7500 0.7500 0.7500 Y
0.2500 0.2500 0.2500 Pu
```

Properties
The space group is No. 216. As for the magnetic moment: 6.19 Bohr magnetons per cell. Its uncorrected energy is -6.522 eV per atom. The value obtained for the energy of formation is -167.3 meV per atom.

Record 4
# Sr2LiIn2

Crystalline Sr2LiIn2 at its relaxed geometry (PBE-GGA, the Alexandria database).

Structure (POSCAR):
```
Sr2LiIn2
1.0
4.6466 0.0000 -1.7581
-1.0811 5.6318 -2.8573
-0.1681 -0.3408 6.5752
In Sr Li
2 2 1
Direct
0.5000 0.2475 0.0000 In
0.5000 0.7525 0.0000 In
0.1931 0.6931 0.3862 Sr
0.8069 0.3069 0.6138 Sr
0.0000 0.0000 0.0000 Li
```

Properties
The space group is No. 71. As for the magnetic moment: 0.00 Bohr magnetons per cell. The energy above the most stable polymorph in this dataset comes out at 0.009 eV/atom. Its uncorrected energy is -2.489 eV per atom. The value obtained for the energy of formation is -337.9 meV per atom.

Record 5
# KUTlI6

Crystalline KUTlI6 at its relaxed geometry (PBE-GGA, the Alexandria database).

Structure (POSCAR):
```
KUTlI6
1.0
8.5372 0.0000 0.0000
-4.2686 7.3934 0.0000
0.0000 0.0000 14.6480
I Tl U K
12 2 2 2
Direct
0.6187 0.9570 0.8702 I
0.9570 0.6187 0.3702 I
0.0430 0.3813 0.6298 I
0.6618 0.6187 0.1298 I
0.3813 0.3382 0.3702 I
0.6618 0.0430 0.3702 I
0.9570 0.3382 0.1298 I
0.3382 0.9570 0.6298 I
0.0430 0.6618 0.8702 I
0.3813 0.0430 0.1298 I
0.3382 0.3813 0.8702 I
0.6187 0.6618 0.6298 I
0.3333 0.6667 0.2500 Tl
0.6667 0.3333 0.7500 Tl
0.6667 0.3333 0.2500 U
0.3333 0.6667 0.7500 U
0.0000 0.0000 0.0000 K
0.0000 0.0000 0.5000 K
```

Properties
The formation energy from raw total energies comes out at -944 meV/atom. The space group is No. 163. As for the magnetic moment: 4.00 Bohr magnetons per cell. Its uncorrected energy is -3.616 eV per atom.

Record 6
# Bi3AsIr

Crystalline Bi3AsIr at its relaxed geometry (PBE-GGA, the Alexandria database).

Structure (POSCAR):
```
Bi3AsIr
1.0
-1.6570 -2.9249 4.1983
-1.1175 -4.0996 -3.2972
4.9932 -1.8882 0.6553
Bi Ir As
3 1 1
Direct
0.0000 0.0000 0.5000 Bi
0.0000 0.5000 0.0000 Bi
0.5000 0.0000 0.0000 Bi
0.5000 0.5000 0.5000 Ir
0.0000 0.0000 0.0000 As
```

Properties
The space group is No. 221. As for the magnetic moment: 0.00 Bohr magnetons per cell. The energy above the most stable polymorph in this dataset comes out at 0.678 eV/atom. Its uncorrected energy is -3.728 eV per atom. The value obtained for the energy of formation is 1302.4 meV per atom.

Record 7
# CoRu2

Crystalline CoRu2 at its relaxed geometry (PBE-GGA, the Alexandria database).

Structure (POSCAR):
```
CoRu2
1.0
-1.3239 1.3239 11.4059
1.3239 -1.3239 11.4059
1.3239 1.3239 -11.4059
Co Ru
2 4
Direct
0.0000 0.0000 0.0000 Co
0.7500 0.2500 0.5000 Co
0.1730 0.6730 0.5000 Ru
0.4230 0.4230 0.0000 Ru
0.3270 0.8270 0.5000 Ru
0.5770 0.5770 0.0000 Ru
```

Properties
The space group is No. 141. As for the magnetic moment: 2.21 Bohr magnetons per cell. Its uncorrected energy is -8.212 eV per atom. The value obtained for the energy of formation is 341.0 meV per atom.

Record 8
# Ba3TeAs

Crystalline Ba3TeAs at its relaxed geometry (PBE-GGA, the Alexandria database).

Structure (POSCAR):
```
Ba3TeAs
1.0
6.2550 0.0000 0.0000
0.0000 6.2550 0.0000
0.0000 0.0000 6.2550
As Ba Te
1 3 1
Direct
0.0000 0.0000 0.0000 As
0.5000 0.0000 0.0000 Ba
0.0000 0.0000 0.5000 Ba
0.0000 0.5000 0.0000 Ba
0.5000 0.5000 0.5000 Te
```

Properties
The formation energy from raw total energies comes out at -918 meV/atom. The space group is No. 221. As for the magnetic moment: 0.00 Bohr magnetons per cell. The energy above the most stable polymorph in this dataset comes out at 0.219 eV/atom. Its uncorrected energy is -3.630 eV per atom.

Record 9
# RbPbAu

Crystalline RbPbAu at its relaxed geometry (PBE-GGA, the Alexandria database).

Structure (POSCAR):
```
RbPbAu
1.0
3.7880 0.0000 0.0000
-1.8940 7.3899 0.0000
0.0000 0.0000 7.2775
Rb Pb Au
2 2 2
Direct
0.3295 0.6590 0.7500 Rb
0.6705 0.3410 0.2500 Rb
0.5924 0.1847 0.7500 Pb
0.4076 0.8153 0.2500 Pb
0.0000 0.0000 0.0000 Au
0.0000 0.0000 0.5000 Au
```

Properties
The space group is No. 63. As for the magnetic moment: 0.00 Bohr magnetons per cell. The energy above the most stable polymorph in this dataset comes out at 0.005 eV/atom. Its uncorrected energy is -2.838 eV per atom. The value obtained for the energy of formation is -187.4 meV per atom.

Record 10
# B3PCl

Crystalline B3PCl at its relaxed geometry (PBE-GGA, the Alexandria database).

Structure (POSCAR):
```
B3PCl
1.0
-1.7079 -3.0671 1.9102
3.4021 -0.6532 1.9930
-1.2173 2.4777 2.8900
B P Cl
3 1 1
Direct
0.0000 0.5000 0.0000 B
0.0000 0.0000 0.5000 B
0.5000 0.0000 0.0000 B
0.0000 0.0000 0.0000 P
0.5000 0.5000 0.5000 Cl
```

Properties
The formation energy from raw total energies comes out at 1545 meV/atom. The space group is No. 221. As for the magnetic moment: 0.00 Bohr magnetons per cell. The energy above the most stable polymorph in this dataset comes out at 0.000 eV/atom. Its uncorrected energy is -3.912 eV per atom.

Record 11
# Th4Ge2AsSe

Crystalline Th4Ge2AsSe at its relaxed geometry (PBE-GGA, the Alexandria database).

Structure (POSCAR):
```
Th4Ge2AsSe
1.0
4.2837 0.0000 0.0000
0.0000 7.3683 -0.1308
0.0000 2.6077 6.9548
Th Se Ge As
4 1 2 1
Direct
0.0000 0.2453 0.2484 Th
0.5000 0.2424 0.7560 Th
0.0000 0.7547 0.7516 Th
0.5000 0.7576 0.2440 Th
0.0000 0.5000 0.5000 Se
0.0000 0.0000 0.0000 Ge
0.5000 0.0000 0.5000 Ge
0.5000 0.5000 0.0000 As
```

Properties
The formation energy from raw total energies comes out at -1165 meV/atom. The space group is No. 10. As for the magnetic moment: 0.00 Bohr magnetons per cell. Its uncorrected energy is -7.046 eV per atom.

Record 12
# KLaCo3

Crystalline KLaCo3 at its relaxed geometry (PBE-GGA, the Alexandria database).

Structure (POSCAR):
```
KLaCo3
1.0
4.7000 0.0000 0.0000
0.0000 4.7000 0.0000
0.0000 0.0000 4.7000
Co K La
3 1 1
Direct
0.0000 0.0000 0.5000 Co
0.5000 0.0000 0.0000 Co
0.0000 0.5000 0.0000 Co
0.0000 0.0000 0.0000 K
0.5000 0.5000 0.5000 La
```

Properties
The space group is No. 221. As for the magnetic moment: 2.76 Bohr magnetons per cell. The energy above the most stable polymorph in this dataset comes out at 0.318 eV/atom. Its uncorrected energy is -3.733 eV per atom. The value obtained for the energy of formation is 1736.0 meV per atom.